[1]
# AlTeCl2, relaxed, DFT GGA-PBE
# Total moment   0.0 μB per formula unit
# Polymorph energy (0 for the lowest one)   193 kJ/mol of formula units
# Uncorrected formation energy   -39 kJ per mole of atoms
data_AlTeCl2
_chemical_formula_sum 'Al1 Te1 Cl2'
_symmetry_space_group_name_H-M 'P 1'
_symmetry_Int_Tables_number 1
_cell_length_a 8.739
_cell_length_b 8.739
_cell_length_c 8.739
_cell_angle_alpha 24.00
_cell_angle_beta 24.00
_cell_angle_gamma 24.00
loop_
_symmetry_equiv_pos_as_xyz
'x,y,z'
loop_
_atom_site_label
_atom_site_fract_x
_atom_site_fract_y
_atom_site_fract_z
Al1 0.000 0.000 0.000
Te1 0.262 0.262 0.262
Cl1 0.506 0.506 0.506
Cl2 0.725 0.725 0.725



[2]
# AlTeCl, relaxed, DFT GGA-PBE
# Total moment   0.0 μB per formula unit
# Uncorrected formation energy   -35 kJ per mole of atoms
data_AlTeCl
_chemical_formula_sum 'Al1 Te1 Cl1'
_symmetry_space_group_name_H-M 'P 1'
_symmetry_Int_Tables_number 1
_cell_length_a 4.742
_cell_length_b 4.742
_cell_length_c 4.742
_cell_angle_alpha 60.00
_cell_angle_beta 60.00
_cell_angle_gamma 60.00
loop_
_symmetry_equiv_pos_as_xyz
'x,y,z'
loop_
_atom_site_label
_atom_site_fract_x
_atom_site_fract_y
_atom_site_fract_z
Al1 0.000 0.000 0.000
Te1 0.750 0.750 0.750
Cl1 0.250 0.250 0.250



[3]
# AlTeCl2, relaxed, DFT GGA-PBE
# Total moment   0.0 μB per formula unit
# Polymorph energy (0 for the lowest one)   287 kJ/mol of formula units
# Uncorrected formation energy   -15 kJ per mole of atoms
data_AlTeCl2
_chemical_formula_sum 'Al1 Te1 Cl2'
_symmetry_space_group_name_H-M 'P 1'
_symmetry_Int_Tables_number 1
_cell_length_a 3.449
_cell_length_b 3.449
_cell_length_c 8.469
_cell_angle_alpha 90.00
_cell_angle_beta 90.00
_cell_angle_gamma 90.00
loop_
_symmetry_equiv_pos_as_xyz
'x,y,z'
loop_
_atom_site_label
_atom_site_fract_x
_atom_site_fract_y
_atom_site_fract_z
Al1 0.000 0.000 0.000
Te1 0.500 0.500 0.787
Cl1 0.000 0.000 0.575
Cl2 0.500 0.500 0.173



[4]
# AlTeCl2, relaxed, DFT GGA-PBE
# Total moment   0.0 μB per formula unit
# Polymorph energy (0 for the lowest one)   8 kJ/mol of formula units
# Uncorrected formation energy   -85 kJ per mole of atoms
data_AlTeCl2
_chemical_formula_sum 'Al1 Te1 Cl2'
_symmetry_space_group_name_H-M 'P 1'
_symmetry_Int_Tables_number 1
_cell_length_a 6.948
_cell_length_b 6.948
_cell_length_c 3.251
_cell_angle_alpha 90.00
_cell_angle_beta 90.00
_cell_angle_gamma 131.38
loop_
_symmetry_equiv_pos_as_xyz
'x,y,z'
loop_
_atom_site_label
_atom_site_fract_x
_atom_site_fract_y
_atom_site_fract_z
Al1 0.000 0.000 0.000
Te1 0.500 0.500 0.000
Cl1 0.130 0.870 0.500
Cl2 0.870 0.130 0.500



[5]
# AlTeCl, relaxed, DFT GGA-PBE
# Total moment   0.0 μB per formula unit
# Uncorrected formation energy   -20 kJ per mole of atoms
data_AlTeCl
_chemical_formula_sum 'Al1 Te1 Cl1'
_symmetry_space_group_name_H-M 'P 1'
_symmetry_Int_Tables_number 1
_cell_length_a 7.798
_cell_length_b 7.798
_cell_length_c 7.798
_cell_angle_alpha 155.76
_cell_angle_beta 155.76
_cell_angle_gamma 34.54
loop_
_symmetry_equiv_pos_as_xyz
'x,y,z'
loop_
_atom_site_label
_atom_site_fract_x
_atom_site_fract_y
_atom_site_fract_z
Al1 0.000 0.000 0.000
Te1 0.639 0.639 0.000
Cl1 0.398 0.398 0.000



[6]
# Al4TeCl, relaxed, DFT GGA-PBE
# Total moment   0.0 μB per formula unit
# Uncorrected formation energy   13 kJ per mole of atoms
data_Al4TeCl
_chemical_formula_sum 'Al4 Te1 Cl1'
_symmetry_space_group_name_H-M 'P 1'
_symmetry_Int_Tables_number 1
_cell_length_a 5.678
_cell_length_b 5.678
_cell_length_c 5.678
_cell_angle_alpha 60.00
_cell_angle_beta 60.00
_cell_angle_gamma 60.00
loop_
_symmetry_equiv_pos_as_xyz
'x,y,z'
loop_
_atom_site_label
_atom_site_fract_x
_atom_site_fract_y
_atom_site_fract_z
Al1 0.125 0.125 0.125
Al2 0.125 0.125 0.626
Al3 0.125 0.626 0.125
Al4 0.626 0.125 0.125
Te1 0.500 0.500 0.500
Cl1 0.750 0.750 0.750